# 1
Below is crystalline Tc2Br3Cl4 at its relaxed geometry, with properties calculated at the PBE level.

Properties
- ΔE_f (raw) (meV/atom) = -456

Lattice parameters (Å, degrees): 6.837 9.141 9.141 78.92 71.16 71.16
Each line ends with the local moment (μB).
Element x y z (fractional)
Tc 0.358 0.187 0.457  1.91
Tc 0.142 0.543 0.813  1.91
Tc 0.642 0.813 0.543  1.91
Tc 0.858 0.457 0.187  1.91
Br 0.982 0.853 0.387  0.18
Br 0.518 0.613 0.147  0.18
Br 0.018 0.147 0.613  0.18
Br 0.482 0.387 0.853  0.18
Br 0.250 0.460 0.540  0.04
Br 0.750 0.540 0.460  0.04
Cl 0.477 0.944 0.340  0.04
Cl 0.023 0.660 0.056  0.04
Cl 0.523 0.056 0.660  0.04
Cl 0.977 0.340 0.944  0.04
Cl 0.217 0.300 0.233  0.04
Cl 0.283 0.767 0.700  0.04
Cl 0.783 0.700 0.767  0.04
Cl 0.717 0.233 0.300  0.04

# 2
Below is crystalline Tl4In3I8 at its relaxed geometry, with properties calculated at the PBE level.

Properties
- ΔE_f (raw) (meV/atom) = -532

Lattice parameters (Å, degrees): 9.766 9.778 9.778 89.86 120.40 120.40
Element x y z (fractional)
Tl 0.500 0.000 0.000
Tl 0.000 0.500 0.000
Tl 0.000 0.000 0.000
Tl 0.000 0.000 0.500
In 0.500 0.500 0.000
In 0.500 0.000 0.500
In 0.500 0.500 0.500
I 0.514 0.261 0.261
I 0.000 0.746 0.254
I 0.012 0.260 0.260
I 0.500 0.746 0.254
I 0.500 0.254 0.746
I 0.988 0.740 0.740
I 0.000 0.254 0.746
I 0.486 0.739 0.739

Copy entry 2 word for word.
Below is crystalline Tl4In3I8 at its relaxed geometry, with properties calculated at the PBE level.

Properties
- ΔE_f (raw) (meV/atom) = -532

Lattice parameters (Å, degrees): 9.766 9.778 9.778 89.86 120.40 120.40
Element x y z (fractional)
Tl 0.500 0.000 0.000
Tl 0.000 0.500 0.000
Tl 0.000 0.000 0.000
Tl 0.000 0.000 0.500
In 0.500 0.500 0.000
In 0.500 0.000 0.500
In 0.500 0.500 0.500
I 0.514 0.261 0.261
I 0.000 0.746 0.254
I 0.012 0.260 0.260
I 0.500 0.746 0.254
I 0.500 0.254 0.746
I 0.988 0.740 0.740
I 0.000 0.254 0.746
I 0.486 0.739 0.739